[1]
Entry from Alexandria via LeMat-Bulk: a relaxed Tl3Pt2 crystal (PBE-GGA).

Its formation energy is -39 meV per atom. Its total DFT energy (no corrections) is -3.875 eV/atom.

The space group is P-3m1 (No. 164) and the conventional cell measures 4.8375, 4.8375 and 5.6691 Å, with angles of 90.00, 90.00 and 120.00 degrees. Symmetry generates all atoms from Tl at (0.0000, 0.0000, 0.0000), Tl at (0.3333, 0.6667, 0.3555) and Pt at (0.3333, 0.6667, 0.8520).

=====

[2]
Entry from Alexandria via LeMat-Bulk: a relaxed Tl5Pt crystal (PBE-GGA).

Its formation energy is 71 meV per atom. Its total DFT energy (no corrections) is -2.908 eV/atom.

The space group is Cmmm (No. 65) and the conventional cell measures 3.971, 16.797 and 5.088 Å, with angles of 90.00, 90.00 and 90.00 degrees. Symmetry generates all atoms from Tl at (0.000, 0.000, 0.000), Tl at (0.000, 0.128, 0.500), Tl at (0.000, 0.330, 0.000) and Pt at (0.000, 0.500, 0.500).

=====

[3]
Entry from Alexandria via LeMat-Bulk: a relaxed TlPt2 crystal (PBE-GGA).

Its formation energy is -48 meV per atom. Its total DFT energy (no corrections) is -4.864 eV/atom.

The space group is Fd-3m (No. 227, origin choice 2) and the conventional cell measures 7.751, 7.751 and 7.751 Å, with angles of 90.00, 90.00 and 90.00 degrees. Symmetry generates all atoms from Tl at (0.125, 0.125, 0.125) and Pt at (0.000, 0.000, 0.500).

=====

[4]
Entry from Alexandria via LeMat-Bulk: a relaxed Tl2Pt crystal (PBE-GGA).

Its formation energy is 120 meV per atom. Its total DFT energy (no corrections) is -3.471 eV/atom.

The space group is P6_3/mmc (No. 194) and the conventional cell measures 5.0193, 5.0193 and 6.5796 Å, with angles of 90.00, 90.00 and 120.00 degrees. Symmetry generates all atoms from Tl at (0.0000, 0.0000, 0.0000), Tl at (0.3333, 0.6667, 0.2500) and Pt at (0.3333, 0.6667, 0.7500).

=====

Q: Which of these has the lowest total DFT energy (no corrections)?
A: TlPt2